--- a ---
# CrCo2Ru PBE optimized geometry
# Calculated density ... 9.5 g/cm3
data_CrCo2Ru
_symmetry_space_group_name_H-M 'P 4 m m'
_symmetry_Int_Tables_number 99
_symmetry_space_group_name_Hall 'P 4 -2'
_cell_length_a 2.589
_cell_length_b 2.589
_cell_length_c 7.061
_cell_angle_alpha 90.00
_cell_angle_beta 90.00
_cell_angle_gamma 90.00
loop_
_atom_site_label
_atom_site_type_symbol
_atom_site_fract_x
_atom_site_fract_y
_atom_site_fract_z
Cr1 Cr 0.000 0.000 0.000
Co1 Co 0.000 0.000 0.528
Co2 Co 0.500 0.500 0.764
Ru1 Ru 0.500 0.500 0.265

***

--- b ---
# CrCo2Ru PBE optimized geometry
# Calculated density ... 9.2 g/cm3
data_CrCo2Ru
_symmetry_space_group_name_H-M 'C m m m'
_symmetry_Int_Tables_number 65
_symmetry_space_group_name_Hall '-C 2 2'
_cell_length_a 2.820
_cell_length_b 4.165
_cell_length_c 8.292
_cell_angle_alpha 90.00
_cell_angle_beta 90.00
_cell_angle_gamma 90.00
loop_
_atom_site_label
_atom_site_type_symbol
_atom_site_fract_x
_atom_site_fract_y
_atom_site_fract_z
Cr1 Cr 0.000 0.000 0.000
Co1 Co 0.000 0.500 0.238
Ru1 Ru 0.000 0.000 0.500

***

Which is the most stable structure? a is the most stable.